The following is a PBE-GGA calculation of a geometry-optimized MgVGa structure, from Alexandria via LeMat-Bulk.

Cell and atoms, written as extended XYZ:
```
6
Lattice="-0.566 4.329 -1.020 -3.940 1.034 -3.277 -3.452 2.687 3.465" Properties=species:S:1:pos:R:3 pbc="T T T"
V -4.121 5.108 -0.671
V -3.838 2.943 -0.161
Mg -1.701 3.979 -1.879
Mg -2.806 1.385 -2.419
Ga -2.620 4.668 1.556
Ga -1.398 2.349 0.888
```

Calculated values
Its raw total energy is -4.391 eV/atom. The theoretical density comes out at 4.45 g/cm3. As for the volume: 108 Å³ per cell. The formation energy comes out at 0.57 eV/f.u. Its crystal system is orthorhombic. The calculation puts the energy above the most stable polymorph in this dataset at 0.31 eV/f.u.